{"formula": "YTcMo2", "functional": "GGA-PBEsol", "state": "optimized geometry", "rho_g_cm3": 9.1, "n_ef_per_ev_cell": 3.81, "total_energy_ev_per_atom": -9.8980, "formation_energy_mev_per_atom": 508, "cell": [[-1.8981, 1.8981, 4.7981], [1.8981, -1.8981, 4.7981], [1.8981, 1.8981, -4.7981]], "species": ["Y", "Tc", "Mo", "Mo"], "frac_coords": [[0.0000, 0.0000, 0.0000], [0.5000, 0.5000, 0.0000], [0.2500, 0.7500, 0.5000], [0.7500, 0.2500, 0.5000]]}